Zr2UOs, optimized geometry, DFT PBE-GGA; uncorrected energy = -0.722 Ry per atom; formation enthalpy at 0 K = 0.0822 eV per atom; total moment = 1.1 μB per formula unit
1.0
-2.590 -1.546 -3.725
1.447 -3.824 -2.502
-2.422 -4.124 0.312
Zr Os U
2 1 1
Cartesian
-2.674 -7.121 -4.436 Zr
-0.891 -2.374 -1.479 Zr
0.000 0.000 0.000 Os
-1.782 -4.747 -2.958 U